Entry 1:
Below is a relaxed structure of Ac4RhS2Cl, with properties calculated at the PBE level.

Size of the total moment (μB/f.u.): 0.0
Uncorrected formation energy (eV per atom): -1.519

Cell lengths 7.5742, 4.2336, 7.7004 Å; angles 90.00, 108.67, 90.00 degrees
Space group P2/m (No. 10)
Symmetry-distinct sites (fractional):
Ac: 0.2339 0.0000 0.2427
Ac: 0.2383 0.5000 0.7395
Rh: 0.0000 0.5000 0.0000
S: 0.0000 0.0000 0.5000
S: 0.5000 0.5000 0.5000
Cl: 0.5000 0.0000 0.0000

Entry 2:
Below is a relaxed structure of Ac8Rh3SCl3, with properties calculated at the PBE level.

Size of the total moment (μB/f.u.): 0.0
Uncorrected formation energy (eV per atom): -1.186

Cell lengths 8.8409, 8.8409, 22.4512 Å; angles 90.00, 90.00, 120.00 degrees
Space group R-3m (No. 166, hexagonal axes)
Symmetry-distinct sites (fractional):
Ac: 0.0000 0.0000 0.2364
Ac: 0.0181 0.5091 0.7604
Rh: 0.0000 0.5000 0.5000
S: 0.0000 0.0000 0.5000
Cl: 0.0000 0.5000 0.0000

Entry 3:
Below is a relaxed structure of Ac4RhSCl2, with properties calculated at the PBE level.

Size of the total moment (μB/f.u.): 0.0
Uncorrected formation energy (eV per atom): -1.425

Cell lengths 7.8091, 4.2107, 7.8477 Å; angles 90.00, 108.20, 90.00 degrees
Space group P2/m (No. 10)
Symmetry-distinct sites (fractional):
Ac: 0.2265 0.0000 0.2162
Ac: 0.2578 0.5000 0.7748
Rh: 0.0000 0.5000 0.0000
S: 0.5000 0.0000 0.0000
Cl: 0.0000 0.0000 0.5000
Cl: 0.5000 0.5000 0.5000

Entry 4:
Below is a relaxed structure of Ac6Rh2SCl3, with properties calculated at the PBE level.

Size of the total moment (μB/f.u.): 0.0
Uncorrected formation energy (eV per atom): -1.369

Cell lengths 7.6104, 13.1639, 8.1510 Å; angles 90.00, 108.00, 90.00 degrees
Space group C2/m (No. 12)
Symmetry-distinct sites (fractional):
Ac: 0.2203 0.0000 0.2073
Ac: 0.2442 0.3256 0.2091
Rh: 0.0000 0.1671 0.0000
S: 0.0000 0.5000 0.0000
Cl: 0.0000 0.0000 0.5000
Cl: 0.0000 0.3409 0.5000

Entry 5:
Below is a relaxed structure of Ac8Rh3SCl4, with properties calculated at the PBE level.

Size of the total moment (μB/f.u.): 0.0
Uncorrected formation energy (eV per atom): -1.321

Cell lengths 8.7297, 8.7297, 23.6153 Å; angles 90.00, 90.00, 120.00 degrees
Space group R-3m (No. 166, hexagonal axes)
Symmetry-distinct sites (fractional):
Ac: 0.0000 0.0000 0.2339
Ac: 0.0120 0.5060 0.7641
Rh: 0.0000 0.5000 0.5000
S: 0.0000 0.0000 0.5000
Cl: 0.0000 0.0000 0.0000
Cl: 0.0000 0.5000 0.0000

Entry 6:
Below is a relaxed structure of Ac3SbRhCl, with properties calculated at the PBE level.

Size of the total moment (μB/f.u.): 0.0
Uncorrected formation energy (eV per atom): -1.062

Cell lengths 9.2179, 4.5097, 10.0338 Å; angles 90.00, 103.90, 90.00 degrees
Space group P2_1/m (No. 11)
Symmetry-distinct sites (fractional):
Ac: 0.0623 0.2500 0.3471
Ac: 0.2340 0.2500 0.9882
Ac: 0.3727 0.7500 0.6234
Sb: 0.3265 0.7500 0.2705
Rh: 0.1576 0.2500 0.6494
Cl: 0.4079 0.7500 0.9169

Entry 7:
Below is a relaxed structure of Ac3RhSeCl, with properties calculated at the PBE level.

Size of the total moment (μB/f.u.): 0.0
Uncorrected formation energy (eV per atom): -1.368

Cell lengths 8.3757, 4.3596, 10.6909 Å; angles 90.00, 91.02, 90.00 degrees
Space group P2_1/m (No. 11)
Symmetry-distinct sites (fractional):
Ac: 0.0814 0.2500 0.3173
Ac: 0.2113 0.7500 0.9966
Ac: 0.3714 0.2500 0.6893
Rh: 0.0706 0.2500 0.8261
Se: 0.4287 0.2500 0.1698
Cl: 0.3263 0.7500 0.4806

Entry 8:
Below is a relaxed structure of Ac8Rh3Se4Cl, with properties calculated at the PBE level.

Size of the total moment (μB/f.u.): 0.0
Uncorrected formation energy (eV per atom): -1.381

Cell lengths 15.0819, 8.7070, 9.1699 Å; angles 90.00, 123.25, 90.00 degrees
Space group C2/m (No. 12)
Symmetry-distinct sites (fractional):
Ac: 0.0097 0.2383 0.2680
Ac: 0.2406 0.0000 0.7228
Ac: 0.2479 0.0000 0.2693
Rh: 0.0000 0.0000 0.5000
Rh: 0.2500 0.2500 0.5000
Se: 0.0000 0.0000 0.0000
Se: 0.0000 0.5000 0.0000
Se: 0.2500 0.2500 0.0000
Cl: 0.0000 0.5000 0.5000